This record from the Alexandria database describes a geometry-optimized SrBeW2 structure. The functional is PBE.

a b c (Å): 10.082 10.082 10.082
angles (deg): 16.31 16.31 16.31
Atoms (fractional coordinates):
W  0.515  0.515  0.515
W  0.985  0.985  0.985
Sr  0.750  0.750  0.750
Be  0.250  0.250  0.250

Volume: 70.5 Å³ per cell
SG: No. 166
Energy: -26.9 eV/cell